Compound: Ba3Bi2Pb
Source: Alexandria
Functional: PBE
Structure: optimized geometry

Cell lengths 14.2882, 5.1929, 14.1878 Å; angles 90.00, 90.00, 90.00 degrees
Space group Pnma (No. 62)
One atom of each set of equivalent atoms:
Ba1 0.0542 0.2500 0.1171
Ba2 0.1188 0.7500 0.5509
Ba3 0.2207 0.2500 0.7936
Bi1 0.0042 0.7500 0.3016
Bi2 0.1868 0.7500 0.9998
Pb1 0.1238 0.2500 0.3658

As for the formation energy from the elements: -0.74 eV/atom. The density of states at the Fermi level is 1.1 states/eV/f.u. The total magnetization comes out at 0.00 μB/atom.